[1]
A relaxed Pr2BeTl crystal. Source: the Alexandria database, functional PBE.

- E_tot (eV/f.u.) = -16.0
- SG = No. 123
- calculated formation energy (eV per atom) = -0.0794

a = 3.6846 Å, b = 3.6846 Å, c = 7.8252 Å
α = 90.00°, β = 90.00°, γ = 90.00°
Last column: nearest neighbours and their distance in Å.
Sites, in units of the cell vectors:
Pr: 0.0000 0.0000 0.2164  4 Be 3.11, 1 Pr 3.39, 4 Tl 3.42
Pr: 0.0000 0.0000 0.7836  4 Be 3.11, 1 Pr 3.39, 4 Tl 3.42
Be: 0.5000 0.5000 0.0000  8 Pr 3.11
Tl: 0.5000 0.5000 0.5000  8 Pr 3.42, 4 Tl 3.68

[2]
A relaxed Co2ReTc crystal. Source: the Alexandria database, functional PBE.

- E_tot (eV/f.u.) = -36.8
- SG = No. 123
- calculated formation energy (eV per atom) = 0.0530
- offset from the most stable computed form (eV/atom) = 0.114

a = 2.5937 Å, b = 2.5937 Å, c = 7.4775 Å
α = 90.00°, β = 90.00°, γ = 90.00°
Last column: nearest neighbours and their distance in Å.
Sites, in units of the cell vectors:
Co: 0.0000 0.0000 0.2493  4 Co 2.59, 4 Re 2.62, 4 Tc 2.62
Co: 0.0000 0.0000 0.7507  4 Co 2.59, 4 Re 2.62, 4 Tc 2.62
Re: 0.5000 0.5000 0.0000  4 Re 2.59, 8 Co 2.62
Tc: 0.5000 0.5000 0.5000  4 Tc 2.59, 8 Co 2.62

[3]
A relaxed SiP2C crystal. Source: the Alexandria database, functional PBE.

- E_tot (eV/f.u.) = -24.3
- SG = No. 1
- offset from the most stable computed form (eV/atom) = 0.106
- E_form (uncorrected) (eV per atom) = 0.301

a = 2.8954 Å, b = 4.2298 Å, c = 6.0079 Å
α = 69.55°, β = 83.67°, γ = 70.06°
Last column: nearest neighbours and their distance in Å.
Sites, in units of the cell vectors:
Si: 0.0000 0.0000 0.0000  2 C 1.87
P: 0.2087 0.7086 0.7299  1 C 1.87
P: 0.2204 0.4385 0.2701  1 C 1.88
C: 0.3509 0.2977 0.0000  2 Si 1.87, 2 P 1.87-1.88